The following is a PBE calculation of crystalline CoPd8Pt2 at its relaxed geometry, from Alexandria.

Cell and atoms, written as extended XYZ:
```
11
Lattice="-3.729 0.143 -1.954 3.058 0.918 -5.771 -0.580 -6.539 0.628" Properties=species:S:1:pos:R:3 pbc="T T T"
Pd -0.192 -3.721 -4.446
Pd -1.192 -3.561 -7.067
Pd 0.332 -0.777 -5.232
Pd -0.059 -1.917 -0.029
Pd -2.141 -5.508 -5.397
Pd -1.058 -1.757 -2.650
Pd 0.891 0.029 -1.699
Pd -1.583 -4.701 -1.864
Pt 1.688 -1.891 -3.360
Pt 0.791 -3.730 -1.782
Co -1.865 0.072 -0.977
```

Computed properties:
Mass density   12.21 g/cm3
Distance to the lowest polymorph of the same formula   0.0 meV per atom
M_tot   4.11 μB/f.u.
Fermi-level density of states   1.646 states/eV/atom
Energy of formation   0.1579 eV/atom